Entry 1:
ZrZnPt3 PBE optimized geometry; ΔH_f (0 K) = -52.6 kJ/mol of atoms; ΔE to the lowest computed polymorph = 0.00 eV per formula unit
1.0
-3.693 2.780 -1.664
-2.787 -5.202 -2.506
-1.362 1.785 6.005
Zr Zn Pt
2 2 6
Direct
0.250 0.333 0.667 Zr
0.750 0.667 0.333 Zr
0.000 0.000 0.000 Zn
0.500 0.000 0.000 Zn
0.250 0.804 0.196 Pt
0.750 0.196 0.804 Pt
0.250 0.804 0.609 Pt
0.750 0.196 0.391 Pt
0.250 0.391 0.196 Pt
0.750 0.609 0.804 Pt



Entry 2:
KNb2Ag2O7 PBE optimized geometry; total DFT energy (no corrections) = -82.12 eV/cell
1.0
3.929 0.000 0.000
0.000 4.539 0.000
-1.964 -2.269 9.749
K Nb Ag O
1 2 2 7
Direct
0.000 0.045 0.000 K
0.398 0.453 0.796 Nb
0.602 0.657 0.204 Nb
0.279 0.777 0.558 Ag
0.721 0.218 0.442 Ag
0.400 0.862 0.799 O
0.706 0.694 0.412 O
0.101 0.582 0.203 O
0.600 0.063 0.201 O
0.294 0.281 0.588 O
0.899 0.379 0.797 O
0.500 0.488 0.000 O



Entry 3:
Ba3Mg4Cd4 PBE optimized geometry; ΔH_f (0 K) = -19.6 kJ/mol of atoms; ΔE to the lowest computed polymorph = 0.00 eV per formula unit
1.0
4.600 -0.006 0.517
-0.093 4.966 0.773
0.517 0.015 15.975
Ba Mg Cd
3 4 4
Direct
0.149 0.649 0.702 Ba
0.851 0.351 0.298 Ba
0.000 0.000 0.000 Ba
0.597 0.098 0.805 Mg
0.253 0.252 0.497 Mg
0.747 0.748 0.503 Mg
0.403 0.902 0.195 Mg
0.549 0.550 0.902 Cd
0.451 0.450 0.098 Cd
0.306 0.807 0.387 Cd
0.694 0.193 0.613 Cd



Entry 4:
Sm3PuS6 PBE optimized geometry; total DFT energy (no corrections) = -145.08 eV/cell
1.0
-3.280 -0.312 -2.348
-6.224 -2.460 9.023
-0.075 11.362 -1.404
Sm Pu S
6 2 12
Direct
0.750 0.429 0.832 Sm
0.250 0.571 0.168 Sm
0.750 0.681 0.505 Sm
0.250 0.319 0.495 Sm
0.750 0.160 0.082 Sm
0.250 0.840 0.918 Sm
0.750 0.045 0.684 Pu
0.250 0.955 0.316 Pu
0.750 0.477 0.612 S
0.250 0.523 0.388 S
0.750 0.918 0.101 S
0.250 0.082 0.899 S
0.750 0.402 0.068 S
0.250 0.598 0.932 S
0.750 0.749 0.279 S
0.250 0.251 0.721 S
0.750 0.111 0.459 S
0.250 0.889 0.541 S
0.750 0.812 0.751 S
0.250 0.188 0.249 S



DOS at the Fermi energy across the listed records, respectively: 0.43; 0.28; 0.80; 1.11 states/eV per atom.